First-principles (PBE) data for crystalline Ac2Pr2Co at its relaxed geometry, as listed in Alexandria.

Output
Final energy   -4.84 eV/atom
Energy of formation from the pure elements   0.1377 eV/atom

Unit cell a=5.1057 b=5.1055 c=13.4965 alpha=100.90 beta=100.90 gamma=90.00
With the nearest neighbours (Å) after each atom.
Element x y z (fractional)
Pr (0.6783, 0.6783, 0.3565)  2 Co 3.16, 1 Ac 3.44
Pr (0.3217, 0.3217, 0.6435)  2 Co 3.16, 1 Ac 3.44
Pr (0.5717, 0.0717, 0.1435)  2 Co 3.16, 1 Ac 3.44
Pr (0.9283, 0.4283, 0.8565)  2 Co 3.16, 1 Ac 3.44
Ac (0.0607, 0.5607, 0.1213)  2 Co 3.00
Ac (0.8107, 0.8107, 0.6213)  2 Co 3.00
Ac (0.4393, 0.9393, 0.8787)  2 Co 3.00
Ac (0.1893, 0.1893, 0.3787)  2 Co 3.00
Co (0.7500, 0.2500, 0.5000)  4 Ac 3.00, 4 Pr 3.16
Co (0.5000, 0.5000, 0.0000)  4 Ac 3.00, 4 Pr 3.16